(1)
First-principles (PBE) data for a relaxed YMo2Br crystal, as listed in the Alexandria database.

Cell: 3.8282 3.8282 11.9544 Å, 80.79 80.79 90.00°
Closest atoms and distances in Å follow each position.
Fractional coordinates of all 8 atoms:
Y  0.0000  0.0000  0.0000  4 Br 2.71
Y  0.7500  0.2500  0.5000  4 Br 2.71
Mo  0.0934  0.6250  0.2500  2 Mo 2.54
Mo  0.6566  0.1250  0.2500  2 Mo 2.54
Mo  0.8750  0.9066  0.7500  2 Mo 2.54
Mo  0.3750  0.3434  0.7500  2 Mo 2.54
Br  0.5000  0.5000  0.0000  4 Y 2.71
Br  0.2500  0.7500  0.5000  4 Y 2.71

Output
Energy relative to the lowest polymorph listed for this composition   548 meV/atom
E_form (uncorrected)   0.489 eV/atom
E   -6.961 eV per atom
Magnetic moment   0.00 μB per cell
V   21.3 Å³ per atom
Space-group type   I-42d, No. 122

(2)
First-principles (PBE) data for a relaxed YMoBr2 crystal, as listed in the Alexandria database.

Cell: 3.3824 3.3824 8.7854 Å, 90.00 90.00 90.00°
Closest atoms and distances in Å follow each position.
Fractional coordinates of all 4 atoms:
Br  0.0000  0.0000  0.9421  4 Y 3.05, 4 Br 3.38
Br  0.5000  0.5000  0.3498  4 Mo 2.66
Y  0.5000  0.5000  0.7263  5 Br 3.05-3.31, 4 Mo 3.21, 4 Y 3.38
Mo  0.0000  0.0000  0.4818  4 Br 2.66

Output
Energy relative to the lowest polymorph listed for this composition   113 meV/atom
E_form (uncorrected)   -0.345 eV/atom
E   -5.505 eV per atom
Magnetic moment   0.00 μB per cell
V   25.1 Å³ per atom
Space-group type   P4mm, No. 99

(3)
First-principles (PBE) data for a relaxed YMo2Br crystal, as listed in the Alexandria database.

Cell: 9.5689 9.5689 9.5689 Å, 18.80 18.80 18.80°
Closest atoms and distances in Å follow each position.
Fractional coordinates of all 4 atoms:
Y  0.2500  0.2500  0.2500  6 Mo 3.12, 6 Y 3.13
Mo  0.4929  0.4929  0.4929  3 Br 2.81, 3 Y 3.12, 6 Mo 3.13
Mo  0.0071  0.0071  0.0071  3 Br 2.81, 3 Y 3.12, 6 Mo 3.13
Br  0.7500  0.7500  0.7500  6 Mo 2.81, 6 Br 3.13

Output
Energy relative to the lowest polymorph listed for this composition   877 meV/atom
E_form (uncorrected)   0.818 eV/atom
E   -6.631 eV per atom
Magnetic moment   0.63 μB per cell
V   19.9 Å³ per atom
Space-group type   R-3m, No. 166

(4)
First-principles (PBE) data for a relaxed YMo2Br crystal, as listed in the Alexandria database.

Cell: 4.7365 4.7365 4.7365 Å, 60.00 60.00 60.00°
Closest atoms and distances in Å follow each position.
Fractional coordinates of all 4 atoms:
Y  0.5000  0.5000  0.5000  8 Mo 2.90
Mo  0.2500  0.2500  0.2500  4 Br 2.90, 4 Y 2.90
Mo  0.7500  0.7500  0.7500  4 Y 2.90, 4 Br 2.90
Br  0.0000  0.0000  0.0000  8 Mo 2.90

Output
Energy relative to the lowest polymorph listed for this composition   1184 meV/atom
E_form (uncorrected)   1.126 eV/atom
E   -6.324 eV per atom
Magnetic moment   0.00 μB per cell
V   18.8 Å³ per atom
Space-group type   Fm-3m, No. 225